one:
# Ga2HgPd8, optimized geometry, DFT PBE
data_Ga2HgPd8
_chemical_formula_sum 'Ga2 Hg1 Pd8'
_symmetry_space_group_name_H-M 'P 1'
_symmetry_Int_Tables_number 1
_symmetry_space_group_name_Hall 'P 1'
_cell_length_a 4.6114
_cell_length_b 5.9277
_cell_length_c 7.4571
_cell_angle_alpha 111.56
_cell_angle_beta 105.78
_cell_angle_gamma 95.45
loop_
_atom_site_label
_atom_site_type_symbol
_atom_site_fract_x
_atom_site_fract_y
_atom_site_fract_z
_atom_site_occupancy
Pd1 Pd 0.4901 0.7522 0.6505 1
Pd2 Pd 0.7296 0.2438 0.9092 1
Ga1 Ga 0.4401 0.2872 0.5870 1
Pd3 Pd 0.9091 0.4677 0.5200 1
Pd4 Pd 0.2874 0.3580 0.2534 1
Hg1 Hg 0.1307 0.9176 0.9092 1
Pd5 Pd 0.2976 0.8560 0.2980 1
Pd6 Pd 0.9429 0.0140 0.5649 1
Pd7 Pd 0.2630 0.4820 0.9087 1
Ga2 Ga 0.7610 0.6098 0.2307 1
Pd8 Pd 0.7485 0.0118 0.1684 1
# Space-group type = Cm

=====

two:
# Ga2HgPd8, optimized geometry, DFT PBE
data_Ga2HgPd8
_chemical_formula_sum 'Ga2 Hg1 Pd8'
_symmetry_space_group_name_H-M 'P 1'
_symmetry_Int_Tables_number 1
_symmetry_space_group_name_Hall 'P 1'
_cell_length_a 4.0793
_cell_length_b 6.4496
_cell_length_c 7.2916
_cell_angle_alpha 109.25
_cell_angle_beta 106.24
_cell_angle_gamma 90.00
loop_
_atom_site_label
_atom_site_type_symbol
_atom_site_fract_x
_atom_site_fract_y
_atom_site_fract_z
_atom_site_occupancy
Pd1 Pd 0.8417 0.7687 0.6833 1
Pd2 Pd 0.0412 0.7260 0.0825 1
Hg1 Hg 0.5000 0.0000 0.0000 1
Pd3 Pd 0.3199 0.0720 0.6399 1
Ga1 Ga 0.7844 0.3359 0.5688 1
Pd4 Pd 0.9588 0.2740 0.9175 1
Pd5 Pd 0.3962 0.5251 0.7924 1
Pd6 Pd 0.6038 0.4749 0.2076 1
Pd7 Pd 0.1583 0.2313 0.3167 1
Ga2 Ga 0.2156 0.6641 0.4312 1
Pd8 Pd 0.6801 0.9280 0.3601 1
# Space-group type = C2/m

=====

Which one is most stable, and which one is least stable? two is the most stable of them, while one is the least stable.

=====

one:
# GaHgPd5, optimized geometry, DFT PBE
data_GaHgPd5
_chemical_formula_sum 'Ga2 Hg2 Pd10'
_symmetry_space_group_name_H-M 'P 1'
_symmetry_Int_Tables_number 1
_symmetry_space_group_name_Hall 'P 1'
_cell_length_a 7.4144
_cell_length_b 7.4144
_cell_length_c 10.9318
_cell_angle_alpha 42.31
_cell_angle_beta 42.31
_cell_angle_gamma 39.27
loop_
_atom_site_label
_atom_site_type_symbol
_atom_site_fract_x
_atom_site_fract_y
_atom_site_fract_z
_atom_site_occupancy
Pd1 Pd 0.6735 0.6586 0.9014 1
Ga1 Ga 0.2750 0.7250 0.2500 1
Pd2 Pd 0.7247 0.7647 0.0825 1
Pd3 Pd 0.2353 0.2753 0.4175 1
Hg1 Hg 0.0000 0.0000 0.0000 1
Pd4 Pd 0.2753 0.2353 0.9175 1
Pd5 Pd 0.3265 0.3414 0.0986 1
Pd6 Pd 0.2201 0.7799 0.7500 1
Hg2 Hg 0.0000 0.0000 0.5000 1
Pd7 Pd 0.7647 0.7247 0.5825 1
Ga2 Ga 0.7250 0.2750 0.7500 1
Pd8 Pd 0.7799 0.2201 0.2500 1
Pd9 Pd 0.6586 0.6735 0.4014 1
Pd10 Pd 0.3414 0.3265 0.5986 1
# Space-group type = C2/c

=====

two:
# GaHgPd5, optimized geometry, DFT PBE
data_GaHgPd5
_chemical_formula_sum 'Ga1 Hg1 Pd5'
_symmetry_space_group_name_H-M 'P 1'
_symmetry_Int_Tables_number 1
_symmetry_space_group_name_Hall 'P 1'
_cell_length_a 4.6601
_cell_length_b 4.6601
_cell_length_c 5.8296
_cell_angle_alpha 90.00
_cell_angle_beta 90.00
_cell_angle_gamma 104.74
loop_
_atom_site_label
_atom_site_type_symbol
_atom_site_fract_x
_atom_site_fract_y
_atom_site_fract_z
_atom_site_occupancy
Hg1 Hg 0.0000 0.0000 0.0000 1
Ga1 Ga 0.5000 0.5000 0.5000 1
Pd1 Pd 0.0000 0.5000 0.2574 1
Pd2 Pd 0.5000 0.0000 0.2574 1
Pd3 Pd 0.0000 0.5000 0.7426 1
Pd4 Pd 0.0000 0.0000 0.5000 1
Pd5 Pd 0.5000 0.0000 0.7426 1
# Space-group type = Cmmm

=====

Which one is most stable, and which one is least stable? two is the most stable of them, while one is the least stable.

=====

one:
# SrGa2HgPd, optimized geometry, DFT PBE
data_SrGa2HgPd
_chemical_formula_sum 'Sr1 Ga2 Hg1 Pd1'
_symmetry_space_group_name_H-M 'P 1'
_symmetry_Int_Tables_number 1
_symmetry_space_group_name_Hall 'P 1'
_cell_length_a 4.8787
_cell_length_b 4.8787
_cell_length_c 5.3313
_cell_angle_alpha 90.00
_cell_angle_beta 90.00
_cell_angle_gamma 90.00
loop_
_atom_site_label
_atom_site_type_symbol
_atom_site_fract_x
_atom_site_fract_y
_atom_site_fract_z
_atom_site_occupancy
Hg1 Hg 0.0000 0.0000 0.5000 1
Ga1 Ga 0.0000 0.5000 0.0000 1
Pd1 Pd 0.0000 0.0000 0.0000 1
Sr1 Sr 0.5000 0.5000 0.5000 1
Ga2 Ga 0.5000 0.0000 0.0000 1
# Space-group type = P4/mmm

=====

two:
# SrGa2HgPd, optimized geometry, DFT PBE
data_SrGa2HgPd
_chemical_formula_sum 'Sr1 Ga2 Hg1 Pd1'
_symmetry_space_group_name_H-M 'P 1'
_symmetry_Int_Tables_number 1
_symmetry_space_group_name_Hall 'P 1'
_cell_length_a 4.8719
_cell_length_b 4.8719
_cell_length_c 5.8697
_cell_angle_alpha 90.00
_cell_angle_beta 90.00
_cell_angle_gamma 90.00
loop_
_atom_site_label
_atom_site_type_symbol
_atom_site_fract_x
_atom_site_fract_y
_atom_site_fract_z
_atom_site_occupancy
Ga1 Ga 0.0000 0.5000 0.0000 1
Hg1 Hg 0.5000 0.5000 0.5000 1
Pd1 Pd 0.0000 0.0000 0.0000 1
Ga2 Ga 0.5000 0.0000 0.0000 1
Sr1 Sr 0.0000 0.0000 0.5000 1
# Space-group type = P4/mmm

=====

Which one is most stable, and which one is least stable? two is the most stable of them, while one is the least stable.

=====

one:
# TlGa2HgPd, optimized geometry, DFT PBE
data_TlGa2HgPd
_chemical_formula_sum 'Tl1 Ga2 Hg1 Pd1'
_symmetry_space_group_name_H-M 'P 1'
_symmetry_Int_Tables_number 1
_symmetry_space_group_name_Hall 'P 1'
_cell_length_a 4.8616
_cell_length_b 4.8616
_cell_length_c 5.3628
_cell_angle_alpha 90.00
_cell_angle_beta 90.00
_cell_angle_gamma 90.00
loop_
_atom_site_label
_atom_site_type_symbol
_atom_site_fract_x
_atom_site_fract_y
_atom_site_fract_z
_atom_site_occupancy
Ga1 Ga 0.5000 0.0000 0.0000 1
Pd1 Pd 0.0000 0.0000 0.0000 1
Ga2 Ga 0.0000 0.5000 0.0000 1
Tl1 Tl 0.5000 0.5000 0.5000 1
Hg1 Hg 0.0000 0.0000 0.5000 1
# Space-group type = P4/mmm

=====

two:
# TlGa2HgPd, optimized geometry, DFT PBE
data_TlGa2HgPd
_chemical_formula_sum 'Tl1 Ga2 Hg1 Pd1'
_symmetry_space_group_name_H-M 'P 1'
_symmetry_Int_Tables_number 1
_symmetry_space_group_name_Hall 'P 1'
_cell_length_a 4.8710
_cell_length_b 4.8710
_cell_length_c 5.5008
_cell_angle_alpha 90.00
_cell_angle_beta 90.00
_cell_angle_gamma 90.00
loop_
_atom_site_label
_atom_site_type_symbol
_atom_site_fract_x
_atom_site_fract_y
_atom_site_fract_z
_atom_site_occupancy
Ga1 Ga 0.0000 0.5000 0.0000 1
Tl1 Tl 0.0000 0.0000 0.5000 1
Hg1 Hg 0.5000 0.5000 0.5000 1
Ga2 Ga 0.5000 0.0000 0.0000 1
Pd1 Pd 0.0000 0.0000 0.0000 1
# Space-group type = P4/mmm

=====

Which one is most stable, and which one is least stable? one is the most stable of them, while two is the least stable.

=====

one:
# Pm3Ga2Hg3, optimized geometry, DFT PBE
data_Pm3Ga2Hg3
_chemical_formula_sum 'Pm6 Ga4 Hg6'
_symmetry_space_group_name_H-M 'P 1'
_symmetry_Int_Tables_number 1
_symmetry_space_group_name_Hall 'P 1'
_cell_length_a 4.5619
_cell_length_b 6.0687
_cell_length_c 15.6440
_cell_angle_alpha 90.00
_cell_angle_beta 90.00
_cell_angle_gamma 112.08
loop_
_atom_site_label
_atom_site_type_symbol
_atom_site_fract_x
_atom_site_fract_y
_atom_site_fract_z
_atom_site_occupancy
Ga1 Ga 0.7945 0.5890 0.6123 1
Pm1 Pm 0.9173 0.8347 0.1075 1
Hg1 Hg 0.6264 0.2528 0.0351 1
Hg2 Hg 0.3736 0.7472 0.9649 1
Hg3 Hg 0.6356 0.2712 0.7500 1
Pm2 Pm 0.9173 0.8347 0.3925 1
Pm3 Pm 0.3587 0.7175 0.7500 1
Ga2 Ga 0.7945 0.5890 0.8877 1
Ga3 Ga 0.2055 0.4110 0.3877 1
Hg4 Hg 0.3736 0.7472 0.5351 1
Pm4 Pm 0.0827 0.1653 0.8925 1
Pm5 Pm 0.6413 0.2825 0.2500 1
Ga4 Ga 0.2055 0.4110 0.1123 1
Hg5 Hg 0.6264 0.2528 0.4649 1
Pm6 Pm 0.0827 0.1653 0.6075 1
Hg6 Hg 0.3644 0.7288 0.2500 1
# Space-group type = Cmcm

=====

two:
# Pm3Ga2Hg3, optimized geometry, DFT PBE
data_Pm3Ga2Hg3
_chemical_formula_sum 'Pm3 Ga2 Hg3'
_symmetry_space_group_name_H-M 'P 1'
_symmetry_Int_Tables_number 1
_symmetry_space_group_name_Hall 'P 1'
_cell_length_a 4.1364
_cell_length_b 5.4861
_cell_length_c 10.0028
_cell_angle_alpha 113.16
_cell_angle_beta 101.93
_cell_angle_gamma 90.00
loop_
_atom_site_label
_atom_site_type_symbol
_atom_site_fract_x
_atom_site_fract_y
_atom_site_fract_z
_atom_site_occupancy
Ga1 Ga 0.2387 0.3286 0.4775 1
Pm1 Pm 0.0000 0.0000 0.0000 1
Hg1 Hg 0.3704 0.8174 0.7407 1
Hg2 Hg 0.6296 0.1826 0.2593 1
Hg3 Hg 0.5000 0.5000 0.0000 1
Ga2 Ga 0.7613 0.6714 0.5225 1
Pm2 Pm 0.8457 0.2709 0.6914 1
Pm3 Pm 0.1543 0.7291 0.3086 1
# Space-group type = C2/m

=====

Which one is most stable, and which one is least stable? one is the most stable of them, while two is the least stable.

=====

one:
# Pm2Ga2Hg3, optimized geometry, DFT PBE
data_Pm2Ga2Hg3
_chemical_formula_sum 'Pm2 Ga2 Hg3'
_symmetry_space_group_name_H-M 'P 1'
_symmetry_Int_Tables_number 1
_symmetry_space_group_name_Hall 'P 1'
_cell_length_a 3.6901
_cell_length_b 4.2689
_cell_length_c 11.0499
_cell_angle_alpha 101.14
_cell_angle_beta 90.00
_cell_angle_gamma 90.00
loop_
_atom_site_label
_atom_site_type_symbol
_atom_site_fract_x
_atom_site_fract_y
_atom_site_fract_z
_atom_site_occupancy
Hg1 Hg 0.5000 0.4269 0.8537 1
Pm1 Pm 0.0000 0.1593 0.3185 1
Hg2 Hg 0.5000 0.5731 0.1463 1
Ga1 Ga 0.5000 0.7180 0.4360 1
Hg3 Hg 0.0000 0.0000 0.0000 1
Ga2 Ga 0.5000 0.2820 0.5640 1
Pm2 Pm 0.0000 0.8407 0.6815 1
# Space-group type = Cmmm

=====

two:
# Pm2Ga2Hg3, optimized geometry, DFT PBE
data_Pm2Ga2Hg3
_chemical_formula_sum 'Pm2 Ga2 Hg3'
_symmetry_space_group_name_H-M 'P 1'
_symmetry_Int_Tables_number 1
_symmetry_space_group_name_Hall 'P 1'
_cell_length_a 4.6633
_cell_length_b 5.9753
_cell_length_c 6.8375
_cell_angle_alpha 106.89
_cell_angle_beta 90.00
_cell_angle_gamma 112.97
loop_
_atom_site_label
_atom_site_type_symbol
_atom_site_fract_x
_atom_site_fract_y
_atom_site_fract_z
_atom_site_occupancy
Hg1 Hg 0.6693 0.3386 0.2628 1
Hg2 Hg 0.0000 0.0000 0.0000 1
Pm1 Pm 0.3597 0.7194 0.2373 1
Pm2 Pm 0.6403 0.2806 0.7627 1
Ga1 Ga 0.0883 0.1766 0.4214 1
Ga2 Ga 0.9117 0.8234 0.5786 1
Hg3 Hg 0.3307 0.6614 0.7372 1
# Space-group type = C2/m

=====

Which one is most stable, and which one is least stable? two is the most stable of them, while one is the least stable.